# 1
Density functional theory data (PBE) for Pm3Tl2In after structural relaxation.

**DFT total energy**: -4.045 eV per atom
**Magnetization**: 0.00 μB/f.u.

Structure (POSCAR):
```
Pm3Tl2In
1.0
-3.621 1.261 -0.401
-0.653 -0.687 3.736
3.498 10.873 2.611
Pm Tl In
3 2 1
Cartesian
0.000 0.000 0.000
2.323 7.222 1.734
1.175 3.651 0.877
0.775 9.339 3.842
-1.551 2.107 2.105
-0.388 5.723 2.973
```

=====

# 2
Density functional theory data (PBE) for Ac3Zn3Au after structural relaxation.

**DFT total energy**: -3.177 eV per atom
**Magnetization**: 0.00 μB/f.u.

Structure (POSCAR):
```
Ac3Zn3Au
1.0
-3.179 3.287 -1.051
-2.970 -2.478 1.234
3.872 3.465 9.598
Ac Zn Au
3 3 1
Cartesian
-0.985 1.187 6.692
-1.287 3.108 3.143
-2.280 4.258 9.742
-1.272 -0.208 3.198
-1.011 4.447 6.497
-2.968 0.922 1.387
0.697 3.381 8.467
```

=====

# 3
Density functional theory data (PBE) for SrZr2Rh after structural relaxation.

**Energy above the lowest structure with this stoichiometry**: 0.00 kJ per mole of atoms
**DFT total energy**: -6.710 eV per atom
**Magnetization**: 0.00 μB/f.u.

Structure (POSCAR):
```
SrZr2Rh
1.0
-2.547 1.669 -1.490
0.491 -1.788 -2.841
-5.036 -7.737 -0.057
Rh Sr Zr
1 1 2
Cartesian
-1.992 -4.461 -1.591
-4.433 -6.038 -3.041
0.188 -2.115 -2.690
-2.636 -1.791 -1.357
```

=====

# 4
Density functional theory data (PBE) for HfTaS2Cl after structural relaxation.

**Energy above the lowest structure with this stoichiometry**: 7.11 kJ per mole of atoms
**DFT total energy**: -6.259 eV per atom
**Magnetization**: 3.66 μB/f.u.

Structure (POSCAR):
```
HfTaS2Cl
1.0
4.951 0.000 0.000
0.000 4.951 0.000
0.000 0.000 4.774
S Cl Hf Ta
2 1 1 1
Cartesian
0.000 2.475 0.000
2.475 0.000 0.000
0.000 0.000 2.387
0.000 0.000 0.000
2.475 2.475 2.387
```

=====

# 5
Density functional theory data (PBE) for PmGeBiPt after structural relaxation.

**DFT total energy**: -5.266 eV per atom
**Magnetization**: 0.00 μB/f.u.

Structure (POSCAR):
```
PmGeBiPt
1.0
5.102 0.000 0.000
2.551 4.418 0.000
2.551 1.473 4.166
Ge Bi Pt Pm
1 1 1 1
Cartesian
5.102 2.945 2.083
7.653 4.418 3.124
0.000 0.000 0.000
2.551 1.473 1.041
```

=====

# 6
Density functional theory data (PBE) for YSnNF2 after structural relaxation.

**Energy above the lowest structure with this stoichiometry**: 0.00 kJ per mole of atoms
**DFT total energy**: -6.250 eV per atom
**Magnetization**: 0.00 μB/f.u.

Structure (POSCAR):
```
YSnNF2
1.0
-2.634 -3.267 1.049
1.719 -2.401 -3.160
3.254 -1.652 3.025
Y N Sn F
1 1 1 2
Cartesian
0.000 0.000 0.000
1.627 -0.826 1.513
1.170 -3.660 0.457
0.860 -1.200 -1.580
-1.317 -1.633 0.524
```

=====

# 7
Density functional theory data (PBE) for CePmCuSi after structural relaxation.

**DFT total energy**: -5.363 eV per atom
**Magnetization**: 1.07 μB/f.u.

Structure (POSCAR):
```
CePmCuSi
1.0
-0.670 1.794 -4.681
-4.248 -1.062 -2.531
-3.413 3.635 -0.851
Si Cu Ce Pm
1 1 1 1
Cartesian
-6.248 3.275 -6.047
-2.083 1.092 -2.016
0.000 0.000 0.000
-4.165 2.184 -4.032
```

=====

# 8
Density functional theory data (PBE) for KSiAg after structural relaxation.

**Energy above the lowest structure with this stoichiometry**: 15.75 kJ per mole of atoms
**DFT total energy**: -2.968 eV per atom
**Magnetization**: 0.00 μB/f.u.

Structure (POSCAR):
```
KSiAg
1.0
3.791 0.012 0.028
-0.033 6.246 -0.916
1.921 1.993 6.810
K Si Ag
2 2 2
Cartesian
0.499 2.942 0.189
2.430 2.398 4.072
4.293 6.322 1.177
2.395 5.275 2.197
2.387 5.695 -0.633
4.300 5.902 4.007
```